# Sm2Ge2Rh5Pb | the Alexandria database | PBE-GGA | relaxed
data_Sm2Ge2Rh5Pb
_chemical_formula_sum 'Sm4 Ge4 Rh10 Pb2'
_space_group_name_H-M_alt 'P 4/m b m'
_space_group_IT_number 127
_space_group_name_Hall '-P 4 2ab'
_cell_length_a 9.9655
_cell_length_b 9.9655
_cell_length_c 3.6881
_cell_angle_alpha 90.00
_cell_angle_beta 90.00
_cell_angle_gamma 90.00
loop_
_atom_site_label
_atom_site_fract_x
_atom_site_fract_y
_atom_site_fract_z
_atom_site_occupancy
Sm1 0.1764 0.3236 0.0000 1
Ge1 0.1205 0.6205 0.0000 1
Rh1 0.0000 0.5000 0.5000 1
Rh2 0.0692 0.7827 0.5000 1
Pb1 0.0000 0.0000 0.0000 1
# VASP energy in eV for the cell shown: -132.3
# Density of states at the Fermi level in states/eV per cell: 6.03
# Magnetic moment in μB/atom: 0.00

---

# SrGe2RhPb | the Alexandria database | PBE-GGA | relaxed
data_SrGe2RhPb
_chemical_formula_sum 'Sr1 Ge2 Rh1 Pb1'
_space_group_name_H-M_alt 'P 4/m m m'
_space_group_IT_number 123
_space_group_name_Hall '-P 4 2'
_cell_length_a 5.3023
_cell_length_b 5.3023
_cell_length_c 6.2116
_cell_angle_alpha 90.00
_cell_angle_beta 90.00
_cell_angle_gamma 90.00
loop_
_atom_site_label
_atom_site_fract_x
_atom_site_fract_y
_atom_site_fract_z
_atom_site_occupancy
Sr1 0.0000 0.0000 0.0000 1
Ge1 0.0000 0.5000 0.5000 1
Rh1 0.5000 0.5000 0.0000 1
Pb1 0.0000 0.0000 0.5000 1
# VASP energy in eV for the cell shown: -16.4
# Density of states at the Fermi level in states/eV per cell: 6.88
# Magnetic moment in μB/atom: 0.15

---

# Tb2Ge2Rh5Pb | the Alexandria database | PBE-GGA | relaxed
data_Tb2Ge2Rh5Pb
_chemical_formula_sum 'Tb4 Ge4 Rh10 Pb2'
_space_group_name_H-M_alt 'P 4/m b m'
_space_group_IT_number 127
_space_group_name_Hall '-P 4 2ab'
_cell_length_a 9.8646
_cell_length_b 9.8646
_cell_length_c 3.6867
_cell_angle_alpha 90.00
_cell_angle_beta 90.00
_cell_angle_gamma 90.00
loop_
_atom_site_label
_atom_site_fract_x
_atom_site_fract_y
_atom_site_fract_z
_atom_site_occupancy
Tb1 0.1757 0.3243 0.0000 1
Ge1 0.1212 0.6212 0.0000 1
Rh1 0.0000 0.5000 0.5000 1
Rh2 0.0701 0.7843 0.5000 1
Pb1 0.0000 0.0000 0.0000 1
# VASP energy in eV for the cell shown: -132.6
# Density of states at the Fermi level in states/eV per cell: 5.27
# Magnetic moment in μB/atom: 0.00

---

# Y2Ge2Rh5Pb | the Alexandria database | PBE-GGA | relaxed
data_Y2Ge2Rh5Pb
_chemical_formula_sum 'Y4 Ge4 Rh10 Pb2'
_space_group_name_H-M_alt 'P 4/m b m'
_space_group_IT_number 127
_space_group_name_Hall '-P 4 2ab'
_cell_length_a 9.8565
_cell_length_b 9.8565
_cell_length_c 3.6866
_cell_angle_alpha 90.00
_cell_angle_beta 90.00
_cell_angle_gamma 90.00
loop_
_atom_site_label
_atom_site_fract_x
_atom_site_fract_y
_atom_site_fract_z
_atom_site_occupancy
Y1 0.1758 0.3242 0.0000 1
Ge1 0.1212 0.6212 0.0000 1
Rh1 0.0000 0.5000 0.5000 1
Rh2 0.0699 0.7845 0.5000 1
Pb1 0.0000 0.0000 0.0000 1
# VASP energy in eV for the cell shown: -139.9
# Density of states at the Fermi level in states/eV per cell: 5.62
# Magnetic moment in μB/atom: 0.00